Record 1
First-principles (PBE) data for a relaxed LiLaTl4 crystal, as listed in Alexandria.

Lattice parameters (Å, degrees): 4.710 4.710 8.163 90.00 90.00 90.00
Positions (direct):
Li 0.500 0.500 0.500
La 0.000 0.000 0.000
Tl 0.500 0.000 0.702
Tl 0.000 0.500 0.702
Tl 0.500 0.000 0.298
Tl 0.000 0.500 0.298

Calculated values
Energy relative to the elements = -0.049 eV/atom
Total magnetization = 0.00 μB per formula unit
SG = P4/mmm, No. 123
Relative energy among the computed polymorphs = 0.761 eV/f.u.

Record 2
First-principles (PBE) data for a relaxed Nd2Ge3Ir4Au crystal, as listed in Alexandria.

Lattice parameters (Å, degrees): 4.238 4.238 10.670 90.00 90.00 90.00
Positions (direct):
Nd 0.500 0.000 0.248
Nd 0.000 0.500 0.752
Ge 0.000 0.000 0.500
Ge 0.500 0.000 0.875
Ge 0.000 0.500 0.125
Ir 0.500 0.500 0.000
Ir 0.000 0.000 0.000
Ir 0.500 0.000 0.648
Ir 0.000 0.500 0.352
Au 0.500 0.500 0.500

Calculated values
Energy relative to the elements = -0.628 eV/atom
Total magnetization = 0.00 μB per formula unit
SG = P-4m2, No. 115

Record 3
First-principles (PBE) data for a relaxed BaSrCeHfO6 crystal, as listed in Alexandria.

Lattice parameters (Å, degrees): 6.046 6.062 8.551 90.20 90.19 89.83
Positions (direct):
Ba 0.506 0.519 0.250
Ba 0.494 0.481 0.750
Sr 0.995 0.027 0.251
Sr 0.005 0.973 0.749
Ce 0.000 0.500 0.000
Ce 0.500 0.000 0.500
Hf 0.500 0.000 0.000
Hf 0.000 0.500 0.500
O 0.229 0.209 0.953
O 0.271 0.712 0.525
O 0.771 0.791 0.047
O 0.729 0.288 0.475
O 0.286 0.731 0.972
O 0.204 0.224 0.546
O 0.714 0.269 0.028
O 0.796 0.776 0.454
O 0.421 0.007 0.240
O 0.060 0.460 0.260
O 0.579 0.993 0.760
O 0.940 0.540 0.740

Calculated values
Raw formation energy = -32.5 eV per formula unit
Total magnetization = 0.00 μB per formula unit
SG = P-1, No. 2
Relative energy among the computed polymorphs = 0.000 eV/f.u.

Record 4
First-principles (PBE) data for a relaxed La6PrY2Tm crystal, as listed in Alexandria.

Lattice parameters (Å, degrees): 8.996 7.244 6.767 122.36 102.19 90.00
Positions (direct):
La 0.433 0.635 0.270
La 0.204 0.046 0.647
La 0.796 0.399 0.353
La 0.204 0.601 0.647
La 0.796 0.954 0.353
La 0.567 0.365 0.730
Pr 0.000 0.500 0.000
Y 0.169 0.091 0.183
Y 0.831 0.909 0.817
Tm 0.500 0.000 0.000

Calculated values
Energy relative to the elements = 0.185 eV/atom
Total magnetization = 0.00 μB per formula unit
SG = C2/m, No. 12

Record 5
First-principles (PBE) data for a relaxed Li3Ge2Pd2 crystal, as listed in Alexandria.

Lattice parameters (Å, degrees): 4.306 4.306 6.777 89.95 108.55 120.04
Positions (direct):
Li 0.000 0.000 0.000
Li 0.717 0.859 0.576
Li 0.283 0.141 0.424
Ge 0.159 0.580 0.739
Ge 0.841 0.420 0.261
Pd 0.436 0.718 0.153
Pd 0.564 0.282 0.847

Calculated values
Energy relative to the elements = -0.572 eV/atom
Total magnetization = 0.00 μB per formula unit
SG = R-3m, No. 166
Relative energy among the computed polymorphs = 0.000 eV/f.u.

Record 6
First-principles (PBE) data for a relaxed PtW2Se crystal, as listed in Alexandria.

Lattice parameters (Å, degrees): 2.890 4.028 5.630 90.00 90.00 90.00
Positions (direct):
Pt 0.000 0.000 0.463
Se 0.500 0.500 0.792
W 0.000 0.000 0.961
W 0.500 0.500 0.283

Calculated values
Raw formation energy = 1.4 eV per formula unit
Total magnetization = 0.00 μB per formula unit
SG = Pmm2, No. 25

Record 7
First-principles (PBE) data for a relaxed Li3U3GeSe8 crystal, as listed in Alexandria.

Lattice parameters (Å, degrees): 8.172 8.171 7.974 120.84 90.00 120.00
Positions (direct):
Li 0.000 0.000 0.000
Li 0.000 0.500 0.000
Li 0.500 0.500 0.000
U 0.500 0.000 0.500
U 0.500 0.500 0.500
U 0.000 0.500 0.500
Ge 0.000 0.000 0.500
Se 0.246 0.493 0.239
Se 0.754 0.507 0.761
Se 0.753 0.507 0.256
Se 0.247 0.493 0.744
Se 0.753 0.003 0.256
Se 0.247 0.997 0.744
Se 0.249 0.003 0.256
Se 0.751 0.997 0.744

Calculated values
Raw formation energy = -15.8 eV per formula unit
Total magnetization = 7.00 μB per formula unit
SG = R-3m, No. 166

Record 8
First-principles (PBE) data for a relaxed CaNi4Bi crystal, as listed in Alexandria.

Lattice parameters (Å, degrees): 5.069 5.069 5.069 60.00 60.00 60.00
Positions (direct):
Ni 0.625 0.625 0.125
Ni 0.625 0.125 0.625
Ni 0.625 0.625 0.625
Ni 0.125 0.625 0.625
Ca 0.000 0.000 0.000
Bi 0.250 0.250 0.250

Calculated values
Energy relative to the elements = -0.089 eV/atom
Total magnetization = 0.00 μB per formula unit
SG = F-43m, No. 216

Record 9
First-principles (PBE) data for a relaxed LiCaNiGe2 crystal, as listed in Alexandria.

Lattice parameters (Å, degrees): 4.167 4.167 5.859 110.83 110.83 90.00
Positions (direct):
Li 0.750 0.250 0.500
Ca 0.000 0.000 0.000
Ni 0.250 0.750 0.500
Ge 0.625 0.625 0.250
Ge 0.375 0.375 0.750

Calculated values
Energy relative to the elements = -0.462 eV/atom
Total magnetization = 0.00 μB per formula unit
SG = I-4m2, No. 119

Record 10
First-principles (PBE) data for a relaxed CaBiN3 crystal, as listed in Alexandria.

Lattice parameters (Å, degrees): 4.378 4.378 4.378 90.00 90.00 90.00
Positions (direct):
Ca 0.000 0.000 0.000
Bi 0.500 0.500 0.500
N 0.000 0.500 0.000
N 0.000 0.000 0.500
N 0.500 0.000 0.000

Calculated values
Raw formation energy = 8.3 eV per formula unit
Total magnetization = 4.00 μB per formula unit
SG = Pm-3m, No. 221

Record 11
First-principles (PBE) data for a relaxed MgMoIrW crystal, as listed in Alexandria.

Lattice parameters (Å, degrees): 4.453 4.453 4.453 60.00 60.00 60.00
Positions (direct):
Mo 0.750 0.750 0.750
Ir 0.250 0.250 0.250
Mg 0.500 0.500 0.500
W 0.000 0.000 0.000

Calculated values
Energy relative to the elements = 0.006 eV/atom
Total magnetization = 0.00 μB per formula unit
SG = F-43m, No. 216

Record 12
First-principles (PBE) data for a relaxed Tb2Bi crystal, as listed in Alexandria.

Lattice parameters (Å, degrees): 4.562 4.562 8.674 90.00 90.00 90.00
Positions (direct):
Tb 0.000 0.500 0.847
Tb 0.000 0.000 0.500
Tb 0.500 0.000 0.153
Tb 0.500 0.500 0.500
Bi 0.000 0.500 0.216
Bi 0.500 0.000 0.784

Calculated values
Energy relative to the elements = -0.606 eV/atom
Total magnetization = 0.00 μB per formula unit
SG = P4/nmm, No. 129

Record 13
First-principles (PBE) data for a relaxed CrFeAs2 crystal, as listed in Alexandria.

Lattice parameters (Å, degrees): 9.849 9.849 9.849 16.47 16.47 16.47
Positions (direct):
As 0.029 0.029 0.029
As 0.223 0.223 0.223
Cr 0.490 0.490 0.490
Fe 0.758 0.758 0.758

Calculated values
Energy relative to the elements = 0.192 eV/atom
Total magnetization = 2.03 μB per formula unit
SG = R3m, No. 160
Relative energy among the computed polymorphs = 1.585 eV/f.u.

Record 14
First-principles (PBE) data for a relaxed PrPa2N4 crystal, as listed in Alexandria.

Lattice parameters (Å, degrees): 3.493 6.066 10.886 90.00 90.00 106.73
Positions (direct):
Pr 0.609 0.218 0.750
Pr 0.391 0.782 0.250
Pa 0.131 0.263 0.429
Pa 0.869 0.737 0.929
Pa 0.131 0.263 0.071
Pa 0.869 0.737 0.571
N 0.770 0.541 0.104
N 0.770 0.541 0.396
N 0.230 0.459 0.896
N 0.230 0.459 0.604
N 0.958 0.916 0.750
N 0.042 0.084 0.250
N 0.500 0.000 0.000
N 0.500 0.000 0.500

Calculated values
Raw formation energy = -11.0 eV per formula unit
Total magnetization = 0.00 μB per formula unit
SG = Cmcm, No. 63

Record 15
First-principles (PBE) data for a relaxed La2TlAgRh crystal, as listed in Alexandria.

Lattice parameters (Å, degrees): 4.062 8.412 8.557 112.38 90.00 90.00
Positions (direct):
La 0.750 0.875 0.652
La 0.750 0.711 0.996
La 0.250 0.125 0.348
La 0.250 0.289 0.004
Tl 0.250 0.696 0.313
Tl 0.750 0.304 0.687
Ag 0.250 0.552 0.639
Ag 0.750 0.448 0.361
Rh 0.250 0.892 0.896
Rh 0.750 0.108 0.104

Calculated values
Energy relative to the elements = -0.478 eV/atom
Total magnetization = 0.00 μB per formula unit
SG = P2_1/m, No. 11
Relative energy among the computed polymorphs = 0.000 eV/f.u.

Record 16
First-principles (PBE) data for a relaxed NdAl2Au crystal, as listed in Alexandria.

Lattice parameters (Å, degrees): 4.344 4.344 5.932 68.52 68.52 60.00
Positions (direct):
Nd 0.000 0.000 0.000
Au 0.500 0.500 0.500
Al 0.788 0.788 0.635
Al 0.212 0.212 0.365

Calculated values
Energy relative to the elements = -0.577 eV/atom
Total magnetization = 0.00 μB per formula unit
SG = R-3m, No. 166

Record 17
First-principles (PBE) data for a relaxed Tb2TiTl3Te6 crystal, as listed in Alexandria.

Lattice parameters (Å, degrees): 7.523 7.523 8.546 98.49 98.49 119.91
Positions (direct):
Tb 0.335 0.665 0.000
Tb 0.665 0.335 0.000
Ti 0.000 0.000 0.000
Tl 0.175 0.825 0.500
Tl 0.825 0.175 0.500
Tl 0.500 0.500 0.500
Te 0.932 0.619 0.794
Te 0.758 0.758 0.213
Te 0.068 0.381 0.206
Te 0.619 0.932 0.794
Te 0.242 0.242 0.787
Te 0.381 0.068 0.206

Calculated values
Raw formation energy = -10.2 eV per formula unit
Total magnetization = 1.01 μB per formula unit
SG = C2/m, No. 12

Record 18
First-principles (PBE) data for a relaxed ZnCr2Si crystal, as listed in Alexandria.

Lattice parameters (Å, degrees): 4.515 4.515 4.515 131.63 131.63 70.81
Positions (direct):
Cr 0.000 0.000 0.000
Cr 0.500 0.500 0.000
Si 0.250 0.750 0.500
Zn 0.750 0.250 0.500

Calculated values
Raw formation energy = 0.5 eV per formula unit
Total magnetization = 2.74 μB per formula unit
SG = I4/mmm, No. 139

Record 19
First-principles (PBE) data for a relaxed LiPrAg2Cl6 crystal, as listed in Alexandria.

Lattice parameters (Å, degrees): 6.869 6.862 7.400 90.01 117.62 120.02
Positions (direct):
Li 0.987 0.993 0.966
Pr 0.987 0.493 0.465
Ag 0.578 0.788 0.352
Ag 0.589 0.295 0.869
Cl 0.501 0.893 0.699
Cl 0.470 0.093 0.185
Cl 0.824 0.729 0.185
Cl 0.107 0.376 0.186
Cl 0.819 0.607 0.697
Cl 0.105 0.212 0.699

Calculated values
Raw formation energy = -14.2 eV per formula unit
Total magnetization = 0.00 μB per formula unit
SG = P1, No. 1

Record 20
First-principles (PBE) data for a relaxed La7Tm2Mg2 crystal, as listed in Alexandria.

Lattice parameters (Å, degrees): 7.955 6.248 7.955 75.66 84.85 104.34
Positions (direct):
La 0.424 0.170 0.072
La 0.072 0.830 0.424
La 0.576 0.830 0.928
La 0.928 0.170 0.576
La 0.413 0.205 0.587
La 0.000 0.000 0.000
La 0.587 0.795 0.413
Tm 0.198 0.585 0.802
Tm 0.802 0.415 0.198
Mg 0.773 0.500 0.773
Mg 0.227 0.500 0.227

Calculated values
Energy relative to the elements = 0.088 eV/atom
Total magnetization = 0.00 μB per formula unit
SG = C2/m, No. 12